No. 1
Computed, not measured: a geometry-optimized CoP2AuO7 structure at the GGA+U level of DFT.

Lattice parameters (Å, degrees): 4.5174 5.4266 5.4351 102.98 98.38 98.37
Atoms (fractional coordinates):
O: 0.0116 0.3865 0.8896
O: 0.4863 0.5081 0.5961
O: 0.9921 0.7650 0.5742
O: 0.5423 0.7207 0.2218
O: 0.0662 0.0124 0.1020
O: 0.5614 0.0339 0.8437
O: 0.7754 0.3297 0.2791
P: 0.6904 0.5974 0.4152
P: 0.8619 0.1932 0.0127
Co: 0.2757 0.7159 0.8906
Au: 0.2766 0.1010 0.5079

Density ... 5.654 g/cm3
Electronic total energy ... -6.4194 eV per atom
Symmetry ... P1 (1)


No. 2
Computed, not measured: a geometry-optimized CoPAuO structure at the GGA+U level of DFT.

Lattice parameters (Å, degrees): 3.2656 6.6279 6.2261 90.00 90.00 90.00
Atoms (fractional coordinates):
O: 0.5000 0.6782 0.9287
O: 0.5000 0.3218 0.4287
Co: 0.0000 0.8018 0.0098
Co: 0.0000 0.1982 0.5098
Au: 0.5000 0.3550 0.9488
Au: 0.5000 0.6450 0.4488
P: 0.0000 0.1138 0.8668
P: 0.0000 0.8862 0.3668

Density ... 7.464 g/cm3
Electronic total energy ... -4.7757 eV per atom
Symmetry ... Pmc2_1 (26)
Relative energy among the computed polymorphs ... 74 meV/atom


No. 3
Computed, not measured: a geometry-optimized CoPAuO structure at the GGA+U level of DFT.

Lattice parameters (Å, degrees): 4.0207 4.0207 8.2911 90.00 90.00 90.00
Atoms (fractional coordinates):
P: 0.0000 0.5000 0.6789
P: 0.5000 0.0000 0.3211
O: 0.0000 0.0000 0.0000
O: 0.5000 0.5000 0.0000
Au: 0.5000 0.5000 0.5000
Au: 0.0000 0.0000 0.5000
Co: 0.0000 0.5000 0.9514
Co: 0.5000 0.0000 0.0486

Density ... 7.505 g/cm3
Electronic total energy ... -4.8494 eV per atom
Symmetry ... P4/nmm (129)
Relative energy among the computed polymorphs ... 0 meV/atom